4
Lattice="4.151 0.000 0.000 0.000 4.151 0.000 0.000 0.000 8.004" Properties=species:S:1:pos:R:3 comment="AcTbEr2 | Alexandria via LeMat-Bulk | PBE-GGA | optimized geometry" energy_ev_per_cell=-17.45 polymorph_energy_mev_per_atom=43 ef_ev_per_atom=0.1048 magmom_total_mub_per_fu=0.0 pbc="T T T"
Ac 2.075 2.075 4.002
Tb 2.075 2.075 0.000
Er 0.000 0.000 6.184
Er 0.000 0.000 1.820

10
Lattice="-4.064 0.932 -4.035 -3.140 -4.379 2.151 -1.991 2.721 2.634" Properties=species:S:1:pos:R:3 comment="Be2Ag2S | Alexandria via LeMat-Bulk | PBE-GGA | optimized geometry" energy_ev_per_cell=-32.13 formation_energy_uncorrected_ev_per_fu=1.2 polymorph_energy_mev_per_atom=0 magmom_total_mub_per_fu=0.0 pbc="T T T"
Be -4.210 -3.453 0.385
Be -5.511 -1.967 -2.133
Be -2.994 0.006 -2.269
Be -1.693 -1.481 0.250
S 0.000 0.000 0.000
S -3.602 -1.724 -0.942
Ag -3.737 -1.390 2.086
Ag -6.318 -1.689 0.445
Ag -5.458 0.664 -1.336
Ag -2.877 0.963 0.306

- Which formula does entry 1 have?
  AcTbEr2